i) The following is a DFT calculation (PBE) of a relaxed DyY3Mg crystal.

The space group is C2/m (No. 12) and the conventional cell measures 28.4870, 3.5815 and 5.9741 Å, with angles of 90.00, 93.78 and 90.00 degrees. The inequivalent atoms are Dy at (0.2472, 0.0000, 0.2518), Y at (0.0466, 0.5000, 0.7133), Y at (0.1440, 0.5000, 0.3736), Y at (0.1516, 0.0000, 0.8735) and Mg at (0.0495, 0.0000, 0.2024).

The volume is 30.41 A^3/atom. Its magnetic moment is 0.00 μB per cell. For the theoretical density, the calculation gives 5.0 g cm⁻³.

ii) The following is a DFT calculation (PBE) of a relaxed DyY3Mg crystal.

The space group is P2_1/m (No. 11) and the conventional cell measures 3.5021, 6.9459 and 12.9056 Å, with angles of 90.00, 97.77 and 90.00 degrees. The inequivalent atoms are Dy at (0.0009, 0.2500, 0.0028), Y at (0.2055, 0.7500, 0.4109), Y at (0.4005, 0.0084, 0.8004) and Mg at (0.1847, 0.2500, 0.3706).

The volume is 31.11 A^3/atom. Its magnetic moment is 0.00 μB per cell. For the theoretical density, the calculation gives 4.8 g cm⁻³.

Computed relative energies in units of kJ/mol of atoms: i) 0.0; ii) 6.4

i) The following is a DFT calculation (PBE) of a relaxed Dy2Y3Mg crystal.

The space group is P4/mmm (No. 123) and the conventional cell measures 3.5759, 3.5759 and 14.3440 Å, with angles of 90.00, 90.00 and 90.00 degrees. The inequivalent atoms are Dy at (0.0000, 0.0000, 0.1752), Y at (0.5000, 0.5000, 0.0000), Y at (0.5000, 0.5000, 0.3476) and Mg at (0.0000, 0.0000, 0.5000).

The volume is 30.57 A^3/atom. Its magnetic moment is 0.00 μB per cell. For the theoretical density, the calculation gives 5.6 g cm⁻³.

ii) The following is a DFT calculation (PBE) of a relaxed Dy2Y3Mg crystal.

The space group is C2/c (No. 15) and the conventional cell measures 17.3755, 6.1744 and 6.9851 Å, with angles of 90.00, 90.04 and 90.00 degrees. The inequivalent atoms are Dy at (0.1856, 0.0099, 0.2496), Y at (0.0000, 0.1868, 0.7500), Y at (0.1407, 0.5002, 0.0000) and Mg at (0.0000, 0.3043, 0.2500).

The volume is 31.22 A^3/atom. Its magnetic moment is 0.00 μB per cell. For the theoretical density, the calculation gives 5.5 g cm⁻³.

Computed relative energies in units of kJ/mol of atoms: i) 0.0; ii) 7.6

i) The following is a DFT calculation (PBE) of a relaxed Dy3Y3Mg crystal.

The space group is P6_3/m (No. 176) and the conventional cell measures 9.4456, 9.4456 and 5.6048 Å, with angles of 90.00, 90.00 and 120.00 degrees. The inequivalent atoms are Dy at (0.0560, 0.8166, 0.2500), Y at (0.1024, 0.6264, 0.7500) and Mg at (0.3333, 0.6667, 0.2500).

The volume is 30.93 A^3/atom. Its magnetic moment is 1.47 μB per cell. For the theoretical density, the calculation gives 6.0 g cm⁻³.

ii) The following is a DFT calculation (PBE) of a relaxed Dy3Y3Mg crystal.

The space group is R-3 (No. 148, hexagonal axes) and the conventional cell measures 6.1792, 6.1792 and 41.5849 Å, with angles of 90.00, 90.00 and 120.00 degrees. The inequivalent atoms are Dy at (0.9997, 0.3327, 0.1320), Y at (0.0000, 0.3361, 0.9361) and Mg at (0.0000, 0.0000, 0.3333).

The volume is 32.74 A^3/atom. Its magnetic moment is 5.87 μB per cell. For the theoretical density, the calculation gives 5.6 g cm⁻³.

Computed relative energies in units of kJ/mol of atoms: i) 0.0; ii) 8.9

i) The following is a DFT calculation (PBE) of a relaxed Dy4YMg crystal.

The space group is P4/mmm (No. 123) and the conventional cell measures 3.5589, 3.5589 and 14.3506 Å, with angles of 90.00, 90.00 and 90.00 degrees. The inequivalent atoms are Dy at (0.0000, 0.0000, 0.1530), Dy at (0.5000, 0.5000, 0.3236), Y at (0.0000, 0.0000, 0.5000) and Mg at (0.5000, 0.5000, 0.0000).

The volume is 30.29 A^3/atom. Its magnetic moment is 0.00 μB per cell. For the theoretical density, the calculation gives 7.0 g cm⁻³.

ii) The following is a DFT calculation (PBE) of a relaxed Dy4YMg crystal.

The space group is C2/c (No. 15) and the conventional cell measures 10.5462, 6.0962 and 11.8334 Å, with angles of 90.00, 107.51 and 90.00 degrees. The inequivalent atoms are Dy at (0.0820, 0.2465, 0.0003), Dy at (0.1663, 0.4161, 0.7503), Y at (0.2500, 0.2500, 0.5000) and Mg at (0.0000, 0.0838, 0.2500).

The volume is 30.23 A^3/atom. Its magnetic moment is 0.00 μB per cell. For the theoretical density, the calculation gives 7.0 g cm⁻³.

Computed relative energies in units of kJ/mol of atoms: i) 0.0; ii) 3.5

i) The following is a DFT calculation (PBE) of a relaxed Dy8Y6Mg crystal.

The space group is R-3 (No. 148, hexagonal axes) and the conventional cell measures 9.0075, 9.0075 and 20.3691 Å, with angles of 90.00, 90.00 and 120.00 degrees. The inequivalent atoms are Dy at (0.0000, 0.0000, 0.0757), Dy at (0.0818, 0.5550, 0.3102), Y at (0.0647, 0.2525, 0.2052) and Mg at (0.0000, 0.0000, 0.5000).

The volume is 31.80 A^3/atom. Its magnetic moment is 0.00 μB per cell. For the theoretical density, the calculation gives 6.5 g cm⁻³.

ii) The following is a DFT calculation (PBE) of a relaxed Dy8Y6Mg crystal.

The space group is P-3 (No. 147) and the conventional cell measures 9.3918, 9.3918 and 6.2739 Å, with angles of 90.00, 90.00 and 120.00 degrees. The inequivalent atoms are Dy at (0.0392, 0.7712, 0.3148), Dy at (0.3333, 0.6667, 0.3172), Y at (0.0918, 0.6408, 0.8163) and Mg at (0.0000, 0.0000, 0.0000).

The volume is 31.95 A^3/atom. Its magnetic moment is 0.00 μB per cell. For the theoretical density, the calculation gives 6.4 g cm⁻³.

Computed relative energies in units of kJ/mol of atoms: i) 0.0; ii) 4.6

i) The following is a DFT calculation (PBE) of a relaxed DyY8Mg2 crystal.

The space group is C2/m (No. 12) and the conventional cell measures 16.5829, 5.3611 and 8.4367 Å, with angles of 90.00, 115.49 and 90.00 degrees. The inequivalent atoms are Dy at (0.0000, 0.0000, 0.0000), Y at (0.0569, 0.5000, 0.7359), Y at (0.1017, 0.0000, 0.4720), Y at (0.1481, 0.5000, 0.2057), Y at (0.1884, 0.0000, 0.9535) and Mg at (0.2264, 0.5000, 0.6293).

The volume is 30.77 A^3/atom. Its magnetic moment is 0.00 μB per cell. For the theoretical density, the calculation gives 4.5 g cm⁻³.

ii) The following is a DFT calculation (PBE) of a relaxed DyY8Mg2 crystal.

The space group is C2/m (No. 12) and the conventional cell measures 8.8072, 15.4309 and 5.6644 Å, with angles of 90.00, 114.80 and 90.00 degrees. The inequivalent atoms are Dy at (0.0000, 0.0000, 0.0000), Y at (0.0000, 0.2139, 0.0000), Y at (0.0971, 0.5000, 0.7973), Y at (0.2082, 0.1121, 0.6257) and Mg at (0.0000, 0.3065, 0.5000).

The volume is 31.76 A^3/atom. Its magnetic moment is 0.00 μB per cell. For the theoretical density, the calculation gives 4.4 g cm⁻³.

Computed relative energies in units of kJ/mol of atoms: i) 0.0; ii) 12.4

i) The following is a DFT calculation (PBE) of a relaxed Dy4MgZn2 crystal.

The space group is R-3m (No. 166, hexagonal axes) and the conventional cell measures 5.0867, 5.0867 and 25.8512 Å, with angles of 90.00, 90.00 and 120.00 degrees. The inequivalent atoms are Dy at (0.0000, 0.0000, 0.1203), Dy at (0.0000, 0.0000, 0.2888), Mg at (0.0000, 0.0000, 0.5000) and Zn at (0.0000, 0.0000, 0.4016).

The volume is 27.58 A^3/atom. Its magnetic moment is 0.00 μB per cell. For the theoretical density, the calculation gives 6.9 g cm⁻³.

ii) The following is a DFT calculation (PBE) of a relaxed Dy4MgZn2 crystal.

The space group is R-3m (No. 166, hexagonal axes) and the conventional cell measures 5.0809, 5.0809 and 24.0738 Å, with angles of 90.00, 90.00 and 120.00 degrees. The inequivalent atoms are Dy at (0.0000, 0.0000, 0.1115), Dy at (0.0000, 0.0000, 0.3663), Mg at (0.0000, 0.0000, 0.5000) and Zn at (0.0000, 0.0000, 0.2403).

The volume is 25.63 A^3/atom. Its magnetic moment is 0.01 μB per cell. For the theoretical density, the calculation gives 7.5 g cm⁻³.

Computed relative energies in units of kJ/mol of atoms: i) 14.7; ii) 0.0

i) The following is a DFT calculation (PBE) of a relaxed DyMg2Zn2 crystal.

The space group is P2_1/m (No. 11) and the conventional cell measures 4.7726, 4.7184 and 9.3705 Å, with angles of 90.00, 104.50 and 90.00 degrees. The inequivalent atoms are Dy at (0.1590, 0.2500, 0.3176), Mg at (0.3454, 0.2500, 0.6937), Mg at (0.4523, 0.7500, 0.9107), Zn at (0.0404, 0.7500, 0.0868) and Zn at (0.2551, 0.7500, 0.5067).

The volume is 20.43 A^3/atom. Its magnetic moment is 0.00 μB per cell. For the theoretical density, the calculation gives 5.6 g cm⁻³.

ii) The following is a DFT calculation (PBE) of a relaxed DyMg2Zn2 crystal.

The space group is I4/mmm (No. 139) and the conventional cell measures 4.2246, 4.2246 and 24.0274 Å, with angles of 90.00, 90.00 and 90.00 degrees. The inequivalent atoms are Dy at (0.0000, 0.0000, 0.1218), Mg at (0.0000, 0.0000, 0.3184), Mg at (0.0000, 0.5000, 0.0000), Zn at (0.0000, 0.0000, 0.4255) and Zn at (0.0000, 0.5000, 0.2500).

The volume is 21.44 A^3/atom. Its magnetic moment is 0.00 μB per cell. For the theoretical density, the calculation gives 5.3 g cm⁻³.

Computed relative energies in units of kJ/mol of atoms: i) 0.0; ii) 8.7

i) The following is a DFT calculation (PBE) of a relaxed DyMgZn2 crystal.

The space group is P4/mmm (No. 123) and the conventional cell measures 3.3900, 3.3900 and 7.0459 Å, with angles of 90.00, 90.00 and 90.00 degrees. The inequivalent atoms are Dy at (0.0000, 0.0000, 0.0000), Mg at (0.0000, 0.0000, 0.5000) and Zn at (0.5000, 0.5000, 0.2762).

The volume is 20.24 A^3/atom. Its magnetic moment is 0.01 μB per cell. For the theoretical density, the calculation gives 6.5 g cm⁻³.

ii) The following is a DFT calculation (PBE) of a relaxed DyMgZn2 crystal.

The space group is Fm-3m (No. 225) and the conventional cell measures 6.8254, 6.8254 and 6.8254 Å, with angles of 90.00, 90.00 and 90.00 degrees. The inequivalent atoms are Dy at (0.0000, 0.0000, 0.0000), Mg at (0.0000, 0.0000, 0.5000) and Zn at (0.2500, 0.2500, 0.2500).

The volume is 19.87 A^3/atom. Its magnetic moment is 0.00 μB per cell. For the theoretical density, the calculation gives 6.6 g cm⁻³.

Computed relative energies in units of kJ/mol of atoms: i) 10.7; ii) 0.0

i) The following is a DFT calculation (PBE) of a relaxed Dy4MgZn crystal.

The space group is P4/mmm (No. 123) and the conventional cell measures 4.9494, 4.9494 and 7.5828 Å, with angles of 90.00, 90.00 and 90.00 degrees. The inequivalent atoms are Dy at (0.0000, 0.5000, 0.2253), Mg at (0.0000, 0.0000, 0.5000) and Zn at (0.5000, 0.5000, 0.0000).

The volume is 30.96 A^3/atom. Its magnetic moment is 0.00 μB per cell. For the theoretical density, the calculation gives 6.6 g cm⁻³.

ii) The following is a DFT calculation (PBE) of a relaxed Dy4MgZn crystal.

The space group is P4/mmm (No. 123) and the conventional cell measures 3.5744, 3.5744 and 12.8138 Å, with angles of 90.00, 90.00 and 90.00 degrees. The inequivalent atoms are Dy at (0.0000, 0.0000, 0.1386), Dy at (0.5000, 0.5000, 0.3304), Mg at (0.0000, 0.0000, 0.5000) and Zn at (0.5000, 0.5000, 0.0000).

The volume is 27.29 A^3/atom. Its magnetic moment is 0.49 μB per cell. For the theoretical density, the calculation gives 7.5 g cm⁻³.

Computed relative energies in units of kJ/mol of atoms: i) 32.2; ii) 0.0

i) The following is a DFT calculation (PBE) of a relaxed DyMgZrZn crystal.

The space group is P4mm (No. 99) and the conventional cell measures 3.5091, 3.5091 and 7.2688 Å, with angles of 90.00, 90.00 and 90.00 degrees. The inequivalent atoms are Dy at (0.0000, 0.0000, 0.0000), Mg at (0.5000, 0.5000, 0.2890), Zr at (0.0000, 0.0000, 0.5367) and Zn at (0.5000, 0.5000, 0.7469).

The volume is 22.38 A^3/atom. Its magnetic moment is 0.00 μB per cell. For the theoretical density, the calculation gives 6.4 g cm⁻³.

ii) The following is a DFT calculation (PBE) of a relaxed DyMgZrZn crystal.

The space group is F-43m (No. 216) and the conventional cell measures 7.0752, 7.0752 and 7.0752 Å, with angles of 90.00, 90.00 and 90.00 degrees. The inequivalent atoms are Dy at (0.0000, 0.0000, 0.0000), Mg at (0.2500, 0.2500, 0.2500), Zr at (0.0000, 0.0000, 0.5000) and Zn at (0.2500, 0.2500, 0.7500).

The volume is 22.14 A^3/atom. Its magnetic moment is 0.00 μB per cell. For the theoretical density, the calculation gives 6.4 g cm⁻³.

Computed relative energies in units of kJ/mol of atoms: i) 0.0; ii) 5.1

i) The following is a DFT calculation (PBE) of a relaxed DyMgZr2 crystal.

The space group is R3m (No. 160, hexagonal axes) and the conventional cell measures 3.2484, 3.2484 and 32.5401 Å, with angles of 90.00, 90.00 and 120.00 degrees. The inequivalent atoms are Dy at (0.0000, 0.0000, 0.0000), Mg at (0.0000, 0.0000, 0.1664), Zr at (0.0000, 0.0000, 0.5821) and Zr at (0.0000, 0.0000, 0.7514).

The volume is 24.78 A^3/atom. Its magnetic moment is 0.00 μB per cell. For the theoretical density, the calculation gives 6.2 g cm⁻³.

ii) The following is a DFT calculation (PBE) of a relaxed DyMgZr2 crystal.

The space group is P4/mmm (No. 123) and the conventional cell measures 3.2565, 3.2565 and 9.2033 Å, with angles of 90.00, 90.00 and 90.00 degrees. The inequivalent atoms are Dy at (0.0000, 0.0000, 0.0000), Mg at (0.0000, 0.0000, 0.5000) and Zr at (0.5000, 0.5000, 0.2596).

The volume is 24.40 A^3/atom. Its magnetic moment is 0.00 μB per cell. For the theoretical density, the calculation gives 6.3 g cm⁻³.

Computed relative energies in units of kJ/mol of atoms: i) 2.9; ii) 0.0